[1]
Entry from the Alexandria database: a relaxed CaBeTl2 crystal (GGA-PBE).

Lattice parameters (Å, degrees): 6.490 10.641 3.580 90.00 121.14 90.00
Space group C2/m (No. 12)
Unique sites:
1 Ca 0.000 0.000 0.000 [2 per cell]
2 Be 0.000 0.500 0.000 [2 per cell]
3 Tl 0.250 0.250 0.500 [4 per cell]

formation energy from the elements	1.33	eV/f.u.

---

[2]
Entry from the Alexandria database: a relaxed Na3TeRu crystal (GGA-PBE).

Lattice parameters (Å, degrees): 5.818 5.818 5.818 90.00 90.00 90.00
Space group Pm-3m (No. 221)
Unique sites:
1 Na 0.000 0.000 0.500 [3 per cell]
2 Te 0.000 0.000 0.000 [1 per cell]
3 Ru 0.500 0.500 0.500 [1 per cell]

formation energy from raw total energies	653	meV per atom

---

[3]
Entry from the Alexandria database: a relaxed Ag12Se6Br crystal (GGA-PBE).

Lattice parameters (Å, degrees): 12.0106 12.0106 10.6355 90.00 90.00 120.00
Space group R-3 (No. 148, hexagonal axes)
Unique sites:
1 Ag 0.0167 0.2278 0.1480 [18 per cell]
2 Ag 0.0957 0.2001 0.3971 [18 per cell]
3 Se 0.0586 0.5215 0.3300 [18 per cell]
4 Br 0.0000 0.0000 0.0000 [3 per cell]

formation energy from raw total energies	-88	meV per atom

---

[4]
Entry from the Alexandria database: a relaxed BeRe2Pb crystal (GGA-PBE).

Lattice parameters (Å, degrees): 6.304 6.304 6.304 90.00 90.00 90.00
Space group Fm-3m (No. 225)
Unique sites:
1 Be 0.000 0.000 0.000 [4 per cell]
2 Re 0.250 0.250 0.250 [8 per cell]
3 Pb 0.000 0.000 0.500 [4 per cell]

formation energy from the elements	4.33	eV/f.u.

---

[5]
Entry from the Alexandria database: a relaxed BeOsW2 crystal (GGA-PBE).

Lattice parameters (Å, degrees): 3.127 3.127 5.750 90.00 90.00 90.00
Space group P4mm (No. 99)
Unique sites:
1 Be 0.000 0.000 0.000 [1 per cell]
2 Os 0.500 0.500 0.208 [1 per cell]
3 W 0.000 0.000 0.496 [1 per cell]
4 W 0.500 0.500 0.759 [1 per cell]

formation energy from the elements	0.53	eV/f.u.

---

[6]
Entry from the Alexandria database: a relaxed ThMg4In15 crystal (GGA-PBE).

Lattice parameters (Å, degrees): 4.679 4.679 23.079 90.00 90.00 90.00
Space group P4/mmm (No. 123)
Unique sites:
1 Th 0.000 0.000 0.000 [1 per cell]
2 Mg 0.000 0.000 0.202 [2 per cell]
3 Mg 0.000 0.000 0.401 [2 per cell]
4 In 0.000 0.500 0.106 [4 per cell]
5 In 0.000 0.500 0.302 [4 per cell]
6 In 0.000 0.500 0.500 [2 per cell]
7 In 0.500 0.500 0.000 [1 per cell]
8 In 0.500 0.500 0.205 [2 per cell]
9 In 0.500 0.500 0.402 [2 per cell]

formation energy from the elements	-1.71	eV/f.u.

---

[7]
Entry from the Alexandria database: a relaxed Sr2CaI2 crystal (GGA-PBE).

Lattice parameters (Å, degrees): 9.815 9.815 4.123 90.00 90.00 90.00
Space group P4/mbm (No. 127)
Unique sites:
1 Sr 0.165 0.335 0.000 [4 per cell]
2 Ca 0.000 0.000 0.500 [2 per cell]
3 I 0.134 0.634 0.500 [4 per cell]

formation energy from raw total energies	-739	meV per atom

---

[8]
Entry from the Alexandria database: a relaxed LaPmSm4Dy2 crystal (GGA-PBE).

Lattice parameters (Å, degrees): 6.254 3.632 12.067 90.00 100.12 90.00
Space group P2/m (No. 10)
Unique sites:
1 La 0.000 0.000 0.000 [1 per cell]
2 Pm 0.000 0.500 0.500 [1 per cell]
3 Sm 0.250 0.000 0.749 [2 per cell]
4 Sm 0.252 0.500 0.253 [2 per cell]
5 Dy 0.500 0.000 0.500 [1 per cell]
6 Dy 0.500 0.500 0.000 [1 per cell]

formation energy from the elements	0.15	eV/f.u.

---

Calculated final energy in order - -2.2823 -2.6221 -3.0767 -6.9998 -10.0823 -2.8295 -2.4324 -4.7010 eV per atom
Calculated D(E_F) in order - 0.4008 5.2616 0.2468 1.4677 0.7204 0.4624 1.0879 1.4948 states/eV/atom